3
Lattice="-4.531 -3.146 -1.774 -1.994 -4.143 -3.526 0.091 -2.757 1.700" Properties=species:S:1:pos:R:3 comment="PBE MgScRh, relaxed" spacegroup="No. 107" m_tot_mub_per_cell=0.00 e_form_mev_per_atom=-609 n_ef_per_ev_cell=0.673 pbc="T T T"
Rh -2.084 -4.246 -0.601
Mg -6.375 -7.186 -5.141
Sc -4.501 -5.902 -3.158

=====

4
Lattice="-4.144 -0.836 1.930 -1.203 -2.560 -3.687 1.316 -2.883 1.574" Properties=species:S:1:pos:R:3 comment="PBE MgSc2Rh, relaxed" spacegroup="No. 123" m_tot_mub_per_cell=0.00 e_form_mev_per_atom=-449 n_ef_per_ev_cell=3.525 pbc="T T T"
Sc -2.673 -1.698 -0.878
Sc 0.000 0.000 0.000
Rh 0.056 -2.721 -1.057
Mg -1.414 -1.859 1.752

=====

20
Lattice="3.366 0.000 0.000 0.000 9.623 0.000 0.000 0.000 9.623" Properties=species:S:1:pos:R:3 comment="PBE MgSc2Si2Rh5, relaxed" spacegroup="No. 127" m_tot_mub_per_cell=0.00 formation_energy_uncorrected_kj_per_mol_atoms=-91 n_ef_per_ev_cell=6.236 pbc="T T T"
Rh 1.683 4.136 2.778
Rh 1.683 0.000 4.811
Rh 1.683 6.845 4.136
Rh 1.683 7.589 8.947
Rh 1.683 0.675 7.589
Rh 1.683 5.487 6.845
Rh 1.683 4.811 0.000
Rh 1.683 2.034 0.675
Rh 1.683 2.778 5.487
Rh 1.683 8.947 2.034
Sc 0.000 1.659 3.152
Sc 0.000 3.152 7.964
Sc 0.000 7.964 6.470
Sc 0.000 6.470 1.659
Mg 0.000 4.811 4.811
Mg 0.000 0.000 0.000
Si 0.000 3.580 1.231
Si 0.000 8.391 3.580
Si 0.000 1.231 6.043
Si 0.000 6.043 8.391

=====

4
Lattice="-0.907 -1.883 -4.251 2.726 -3.495 -1.673 -1.724 -4.401 -0.322" Properties=species:S:1:pos:R:3 comment="PBE MgScSnRh, relaxed" spacegroup="No. 216" m_tot_mub_per_cell=0.00 e_form_mev_per_atom=-535 n_ef_per_ev_cell=0.694 pbc="T T T"
Rh 0.072 -7.334 -4.685
Sn 0.024 -2.445 -1.562
Sc 0.048 -4.890 -3.123
Mg 0.000 0.000 0.000

=====

5
Lattice="5.203 0.000 0.000 0.000 5.203 0.000 0.000 0.000 4.911" Properties=species:S:1:pos:R:3 comment="PBE SrMg2ScRh, relaxed" spacegroup="No. 123" m_tot_mub_per_cell=0.00 e_form_mev_per_atom=-285 n_ef_per_ev_cell=3.779 pbc="T T T"
Mg 2.602 0.000 0.000
Mg 0.000 2.602 0.000
Rh 0.000 0.000 0.000
Sr 2.602 2.602 2.455
Sc 0.000 0.000 2.455

=====

8
Lattice="-2.497 -0.736 3.787 0.385 -3.978 2.269 4.832 1.371 6.241" Properties=species:S:1:pos:R:3 comment="PBE TbMgSc2Rh4, relaxed" spacegroup="No. 166" m_tot_mub_per_cell=0.00 e_form_mev_per_atom=-866 n_ef_per_ev_cell=3.248 pbc="T T T"
Rh 2.740 0.259 4.646
Rh 3.387 -0.594 7.695
Rh -0.021 -3.603 7.651
Rh -0.668 -2.750 4.602
Sc 1.932 -2.565 9.141
Sc 0.787 -0.779 3.156
Tb 0.000 0.000 0.000
Mg 1.360 -1.672 6.148

=====

Please write out number 1 again, unchanged.
3
Lattice="-4.531 -3.146 -1.774 -1.994 -4.143 -3.526 0.091 -2.757 1.700" Properties=species:S:1:pos:R:3 comment="PBE MgScRh, relaxed" spacegroup="No. 107" m_tot_mub_per_cell=0.00 e_form_mev_per_atom=-609 n_ef_per_ev_cell=0.673 pbc="T T T"
Rh -2.084 -4.246 -0.601
Mg -6.375 -7.186 -5.141
Sc -4.501 -5.902 -3.158